Entry 1:
A plane-wave DFT calculation with PBE was carried out for crystalline Sr4Pa3MnN8 at its relaxed geometry.

Cell: 7.1432 7.1432 17.9196 Å, 90.00 90.00 120.00°
Closest atoms and distances in Å follow each position.
Space group R-3m (No. 166, hexagonal axes)
Inequivalent atoms, fractional coordinates:
Sr: 0.0000 0.0000 0.0000 [3 per cell]  6 N 2.63
Sr: 0.0000 0.5000 0.0000 [9 per cell]  6 N 2.73-2.78
Pa: 0.0000 0.5000 0.5000 [9 per cell]  6 N 2.33-2.38
Mn: 0.0000 0.0000 0.5000 [3 per cell]  6 N 2.50
N: 0.0000 0.0000 0.2335 [6 per cell]  3 Pa 2.38
N: 0.0215 0.5107 0.7665 [18 per cell]  2 Pa 2.33, 1 Mn 2.50

Properties
**Formation energy (no corrections)**: -1131 meV/atom
**D(E_F)**: 0.275 states/eV per atom

Entry 2:
A plane-wave DFT calculation with PBE was carried out for crystalline Sr3Pa2MnN6 at its relaxed geometry.

Cell: 6.1313 10.7209 6.2906 Å, 90.00 108.30 90.00°
Closest atoms and distances in Å follow each position.
Space group C2/m (No. 12)
Inequivalent atoms, fractional coordinates:
Sr: 0.0000 0.0000 0.0000 [2 per cell]  6 N 2.61-2.77
Sr: 0.0000 0.3407 0.0000 [4 per cell]  6 N 2.64-2.74
Pa: 0.0000 0.1669 0.5000 [4 per cell]  6 N 2.32-2.35
Mn: 0.0000 0.5000 0.5000 [2 per cell]  6 N 2.46-2.55
N: 0.2163 0.0000 0.7030 [4 per cell]  2 Pa 2.35, 1 Mn 2.46, 1 Sr 2.61
N: 0.2492 0.3203 0.7081 [8 per cell]  2 Pa 2.32-2.34, 1 Mn 2.55

Properties
**Formation energy (no corrections)**: -1077 meV/atom

Entry 3:
A plane-wave DFT calculation with PBE was carried out for crystalline Pa2TaMnN6 at its relaxed geometry.

Cell: 5.2847 5.2847 4.8007 Å, 90.00 90.00 90.00°
Closest atoms and distances in Å follow each position.
Space group P4mm (No. 99)
Inequivalent atoms, fractional coordinates:
Pa: 0.0000 0.5000 0.0000 [2 per cell]  4 N 2.27
Ta: 0.0000 0.0000 0.5785 [1 per cell]  5 N 1.91-2.03
Mn: 0.5000 0.5000 0.5962 [1 per cell]  5 N 1.88-1.96
N: 0.0000 0.0000 0.1797 [1 per cell]  1 Ta 1.91
N: 0.2527 0.2527 0.7315 [4 per cell]  1 Mn 1.96, 1 Ta 2.03
N: 0.5000 0.5000 0.2046 [1 per cell]  1 Mn 1.88

Properties
**Formation energy (no corrections)**: -1003 meV/atom
**D(E_F)**: 0.291 states/eV per atom

Entry 4:
A plane-wave DFT calculation with PBE was carried out for crystalline TbPa2MnN4 at its relaxed geometry.

Cell: 6.8346 7.0141 9.6578 Å, 90.00 90.00 90.00°
Closest atoms and distances in Å follow each position.
Space group Imma (No. 74)
Inequivalent atoms, fractional coordinates:
Tb: 0.2500 0.2500 0.2500 [4 per cell]  6 N 2.47-2.49
Pa: 0.0000 0.0000 0.0000 [4 per cell]  6 N 2.38
Pa: 0.2500 0.2500 0.7500 [4 per cell]  6 N 2.36-2.40
Mn: 0.0000 0.0000 0.5000 [4 per cell]  6 N 2.45-2.52
N: 0.0000 0.0091 0.7532 [8 per cell]  3 Pa 2.38-2.40, 1 Mn 2.45, 2 Tb 2.49
N: 0.2353 0.2500 0.9944 [8 per cell]  3 Pa 2.36-2.38, 1 Tb 2.47, 2 Mn 2.52

Properties
**Formation energy (no corrections)**: -1200 meV/atom
**D(E_F)**: 0.571 states/eV per atom